# Na4SrTl2

An optimized crystal structure of Na4SrTl2 (PBE-GGA, Alexandria via LeMat-Bulk).

Geometry as extended XYZ:
```
7
Lattice="-1.1210 -4.9326 0.6444 2.2053 -0.9838 -3.6944 7.7768 -0.7891 7.4887" Properties=species:S:1:pos:R:3 pbc="T T T"
Na 5.8897 -0.8497 3.7420
Na 2.6908 -2.9353 2.3879
Na 6.1703 -3.7701 2.0508
Na 4.0923 -0.9232 0.0523
Tl 7.0240 -3.5604 5.1410
Tl 1.8371 -3.1450 -0.7022
Sr 0.0000 0.0000 0.0000
```

Calculated values
Calculated density (g/cm3): 4.1
Total moment (μB per atom): 0.0000
Uncorrected energy (eV per atom): -1.788
Space-group type: Cmmm, No. 65
ΔE_f (meV per atom): -118